{
  "formula": "Be2Nb2In",
  "functional": "meta-GGA SCAN",
  "state": "PBEsol geometry",
  "lattice": [[-0.6045, -2.9230, -1.9250], [4.2418, 1.9366, -4.2726], [4.5658, -3.0262, 3.1612]],
  "species": ["Be", "Be", "Be", "Be", "Nb", "Nb", "Nb", "Nb", "In", "In"],
  "frac_coords": [[0.0000, 0.3857, 0.8857], [0.0000, 0.8857, 0.6143], [0.0000, 0.6143, 0.1143], [0.0000, 0.1143, 0.3857], [0.5000, 0.1749, 0.6749], [0.5000, 0.6749, 0.8251], [0.5000, 0.8251, 0.3251], [0.5000, 0.3251, 0.1749], [0.0000, 0.0000, 0.0000], [0.0000, 0.5000, 0.5000]],
  "m_tot_mub_per_fu": 0.00,
  "delta_e_f_mev_per_atom": -143
}